1.
A relaxed structure of TbPuNi4, computed with PBE.

The structure belongs to space group F-43m (No. 216); the cell edges are 7.1682, 7.1682 and 7.1682 Å and the angles 90.00°, 90.00° and 90.00°. The inequivalent atoms are Tb at (0.0000, 0.0000, 0.0000), Pu at (0.2500, 0.2500, 0.7500) and Ni at (0.1244, 0.1244, 0.3756).

For the density of states at the Fermi level, the calculation gives 16.2 states/eV/f.u. The calculation puts the formation energy at -0.320 eV/atom.

=====

2.
A relaxed structure of TbPuNi2, computed with PBE.

The structure belongs to space group P4/mmm (No. 123); the cell edges are 4.8253, 4.8253 and 3.2799 Å and the angles 90.00°, 90.00° and 90.00°. The inequivalent atoms are Tb at (0.0000, 0.0000, 0.0000), Pu at (0.5000, 0.5000, 0.0000) and Ni at (0.0000, 0.5000, 0.5000).

For the density of states at the Fermi level, the calculation gives 11.2 states/eV/f.u. The calculation puts the formation energy at -0.189 eV/atom.

=====

3.
A relaxed structure of TbPu3Ni8, computed with PBE.

The structure belongs to space group P3m1 (No. 156); the cell edges are 5.0499, 5.0499 and 8.2834 Å and the angles 90.00°, 90.00° and 120.00°. The inequivalent atoms are Tb at (0.0000, 0.0000, 0.0000), Pu at (0.0000, 0.0000, 0.3805), Pu at (0.6667, 0.3333, 0.4892), Pu at (0.6667, 0.3333, 0.8573), Ni at (0.0006, 0.5003, 0.1811), Ni at (0.1680, 0.3360, 0.6830), Ni at (0.3333, 0.6667, 0.4309) and Ni at (0.3333, 0.6667, 0.9320).

For the density of states at the Fermi level, the calculation gives 32.7 states/eV/f.u. The calculation puts the formation energy at -0.278 eV/atom.

=====

4.
A relaxed structure of Tb2PuNi9, computed with PBE.

The structure belongs to space group R-3m (No. 166, hexagonal axes); the cell edges are 4.9723, 4.9723 and 24.3713 Å and the angles 90.00°, 90.00° and 120.00°. The inequivalent atoms are Tb at (0.0000, 0.0000, 0.1387), Pu at (0.0000, 0.0000, 0.0000), Ni at (0.0000, 0.0000, 0.3329), Ni at (0.0000, 0.0000, 0.5000) and Ni at (0.0005, 0.5003, 0.9181).

For the density of states at the Fermi level, the calculation gives 22.1 states/eV/f.u. The calculation puts the formation energy at -0.331 eV/atom.

=====

5.
A relaxed structure of TbPuNi10, computed with PBE.

The structure belongs to space group Pmmm (No. 47); the cell edges are 3.9568, 4.8818 and 8.4726 Å and the angles 90.00°, 90.00° and 90.00°. The inequivalent atoms are Tb at (0.0000, 0.0000, 0.0000), Pu at (0.0000, 0.5000, 0.5000), Ni at (0.0000, 0.0000, 0.3347), Ni at (0.0000, 0.5000, 0.1694), Ni at (0.5000, 0.0000, 0.5000), Ni at (0.5000, 0.2508, 0.2504) and Ni at (0.5000, 0.5000, 0.0000).

For the density of states at the Fermi level, the calculation gives 21.3 states/eV/f.u. The calculation puts the formation energy at -0.257 eV/atom.

=====

6.
A relaxed structure of Tb2PuNi, computed with PBE.

The structure belongs to space group R-3m (No. 166, hexagonal axes); the cell edges are 3.5222, 3.5222 and 30.9439 Å and the angles 90.00°, 90.00° and 120.00°. The inequivalent atoms are Tb at (0.0000, 0.0000, 0.1089), Pu at (0.0000, 0.0000, 0.0000) and Ni at (0.0000, 0.0000, 0.5000).

For the density of states at the Fermi level, the calculation gives 11.8 states/eV/f.u. Its energy above the most stable polymorph in this dataset is 274.0 meV/atom. The calculation puts the formation energy at 0.184 eV/atom.

=====

7.
A relaxed structure of Tb3PuNi8, computed with PBE.

The structure belongs to space group R3m (No. 160, hexagonal axes); the cell edges are 5.0744, 5.0744 and 24.8438 Å and the angles 90.00°, 90.00° and 120.00°. The inequivalent atoms are Tb at (0.0000, 0.0000, 0.0000), Tb at (0.0000, 0.0000, 0.1259), Tb at (0.0000, 0.0000, 0.6223), Pu at (0.0000, 0.0000, 0.4983), Ni at (0.0000, 0.0000, 0.3117), Ni at (0.0000, 0.0000, 0.8119), Ni at (0.9995, 0.4998, 0.0613) and Ni at (0.0019, 0.5010, 0.5618).

For the density of states at the Fermi level, the calculation gives 21.4 states/eV/f.u. The calculation puts the formation energy at -0.379 eV/atom.

=====

8.
A relaxed structure of Tb2PuNi, computed with PBE.

The structure belongs to space group P4/mmm (No. 123); the cell edges are 3.4220, 3.4220 and 8.5195 Å and the angles 90.00°, 90.00° and 90.00°. The inequivalent atoms are Tb at (0.0000, 0.0000, 0.1919), Pu at (0.5000, 0.5000, 0.5000) and Ni at (0.5000, 0.5000, 0.0000).

For the density of states at the Fermi level, the calculation gives 7.8 states/eV/f.u. Its energy above the most stable polymorph in this dataset is 0.0 meV/atom. The calculation puts the formation energy at -0.090 eV/atom.